(1)
Computed, not measured: LiEr2Fe after structural relaxation at the PBE level of DFT.

Results
The volume comes out at 309.8 Å³/cell. The value obtained for the formation energy is 0.284 eV/atom. The value obtained for the polymorph energy (0 for the lowest one) is 0.2620 eV/atom.

Cell: 3.4461 3.4461 30.1197 Å, 90.00 90.00 120.00°
Atoms (fractional coordinates):
Li: 0.0000 0.0000 0.0000
Li: 0.3333 0.6667 0.6667
Li: 0.6667 0.3333 0.3333
Er: 0.0000 0.0000 0.1067
Er: 0.0000 0.0000 0.8933
Er: 0.3333 0.6667 0.5600
Er: 0.3333 0.6667 0.7733
Er: 0.6667 0.3333 0.2267
Er: 0.6667 0.3333 0.4400
Fe: 0.0000 0.0000 0.5000
Fe: 0.3333 0.6667 0.1667
Fe: 0.6667 0.3333 0.8333

(2)
Computed, not measured: DyPaPd2O8 after structural relaxation at the PBE level of DFT.

Results
The volume comes out at 174.0 Å³/cell. The formation energy without anion corrections comes out at -1.70 eV per atom.

Cell: 6.0915 6.0915 6.0915 Å, 108.96 108.96 110.50°
Atoms (fractional coordinates):
Dy: 0.0000 0.0000 0.0000
Pa: 0.2500 0.7500 0.5000
Pd: 0.5000 0.5000 0.0000
Pd: 0.7500 0.2500 0.5000
O: 0.2878 0.1058 0.8180
O: 0.2878 0.4698 0.1820
O: 0.3589 0.0326 0.3263
O: 0.5302 0.7122 0.8180
O: 0.7063 0.0326 0.6737
O: 0.8942 0.7122 0.1820
O: 0.9674 0.2937 0.3263
O: 0.9674 0.6411 0.6737

(3)
Computed, not measured: TlZnRe2 after structural relaxation at the PBE level of DFT.

Results
The volume comes out at 72.6 Å³/cell. The value obtained for the formation energy is 0.375 eV/atom. The value obtained for the polymorph energy (0 for the lowest one) is 0.0000 eV/atom.

Cell: 2.9967 2.9967 8.0790 Å, 90.00 90.00 90.00°
Atoms (fractional coordinates):
Tl: 0.0000 0.0000 0.0000
Zn: 0.5000 0.5000 0.3113
Re: 0.0000 0.0000 0.5317
Re: 0.5000 0.5000 0.7136

(4)
Computed, not measured: Pm4InGe after structural relaxation at the PBE level of DFT.

Results
The volume comes out at 195.3 Å³/cell. The value obtained for the formation energy is -0.305 eV/atom. The value obtained for the polymorph energy (0 for the lowest one) is 0.1547 eV/atom.

Cell: 9.0621 9.0621 9.0621 Å, 32.89 32.89 32.89°
Atoms (fractional coordinates):
Pm: 0.1196 0.1196 0.1196
Pm: 0.3716 0.3716 0.3716
Pm: 0.6284 0.6284 0.6284
Pm: 0.8804 0.8804 0.8804
In: 0.5000 0.5000 0.5000
Ge: 0.0000 0.0000 0.0000

(5)
Computed, not measured: Tb5Sm2Ho after structural relaxation at the PBE level of DFT.

Results
The volume comes out at 527.8 Å³/cell. The value obtained for the formation energy is 0.181 eV/atom. The value obtained for the polymorph energy (0 for the lowest one) is 0.1656 eV/atom.

Cell: 5.9030 10.7768 8.6680 Å, 90.00 106.84 90.00°
Atoms (fractional coordinates):
Tb: 0.2053 0.0875 0.3709
Tb: 0.2053 0.4125 0.3709
Tb: 0.2511 0.7500 0.4459
Tb: 0.2894 0.0838 0.7621
Tb: 0.2894 0.4162 0.7621
Tb: 0.7106 0.5838 0.2379
Tb: 0.7106 0.9162 0.2379
Tb: 0.7489 0.2500 0.5541
Tb: 0.7947 0.5875 0.6291
Tb: 0.7947 0.9125 0.6291
Sm: 0.1620 0.6071 0.0485
Sm: 0.1620 0.8929 0.0485
Sm: 0.8380 0.1071 0.9515
Sm: 0.8380 0.3929 0.9515
Ho: 0.4480 0.2500 0.1249
Ho: 0.5520 0.7500 0.8751

(6)
Computed, not measured: Np2SiB2Rh5 after structural relaxation at the PBE level of DFT.

Results
The volume comes out at 286.4 Å³/cell. The formation energy without anion corrections comes out at -0.46 eV per atom.

Cell: 9.4731 9.4731 3.1917 Å, 90.00 90.00 90.00°
Atoms (fractional coordinates):
Np: 0.1778 0.3222 0.0000
Np: 0.3222 0.8222 0.0000
Np: 0.6778 0.1778 0.0000
Np: 0.8222 0.6778 0.0000
Si: 0.0000 0.0000 0.0000
Si: 0.5000 0.5000 0.0000
B: 0.1218 0.6218 0.0000
B: 0.3782 0.1218 0.0000
B: 0.6218 0.8782 0.0000
B: 0.8782 0.3782 0.0000
Rh: 0.0000 0.5000 0.5000
Rh: 0.0662 0.7866 0.5000
Rh: 0.2134 0.0662 0.5000
Rh: 0.2866 0.5662 0.5000
Rh: 0.4338 0.2866 0.5000
Rh: 0.5000 0.0000 0.5000
Rh: 0.5662 0.7134 0.5000
Rh: 0.7134 0.4338 0.5000
Rh: 0.7866 0.9338 0.5000
Rh: 0.9338 0.2134 0.5000